Material: Fe2TcSb
Method: DFT, GGA-PBEsol
State: optimized geometry

## Properties
- symmetry = No. 71
- N(E_F) (states/eV/f.u.) = 3.7
- calculated total energy (eV per atom) = -8.164
- formation energy (no corrections) (eV/f.u.) = 1.09

```
Fe2TcSb
1.0
-0.8897 0.5149 -2.9160
-4.0036 -0.9541 1.0531
1.7152 4.3377 1.8817
Fe Sb Tc
2 1 1
direct
0.7482 0.7482 0.4963
0.2518 0.2518 0.5037
0.5000 0.0000 0.0000
0.0000 0.5000 0.0000
```


Material: Li3CdAu
Method: DFT, GGA-PBEsol
State: optimized geometry

## Properties
- symmetry = No. 221
- N(E_F) (states/eV/f.u.) = 1.9
- calculated total energy (eV per atom) = -2.259

```
Li3CdAu
1.0
-0.3996 -3.9590 2.6271
-0.6971 -2.5590 -3.9624
4.6999 -0.7162 -0.3644
Li Au Cd
3 1 1
direct
0.0000 0.5000 0.0000
0.0000 0.0000 0.5000
0.5000 0.0000 0.0000
0.0000 0.0000 0.0000
0.5000 0.5000 0.5000
```


Material: CsPt2Pb2
Method: DFT, GGA-PBEsol
State: optimized geometry

## Properties
- symmetry = No. 139
- N(E_F) (states/eV/f.u.) = 2.9
- calculated total energy (eV per atom) = -4.651

```
CsPt2Pb2
1.0
4.8680 0.0000 0.0000
0.0000 4.8680 0.0000
-2.4340 -2.4340 5.5951
Pb Cs Pt
2 1 2
direct
0.2500 0.7500 0.5000
0.7500 0.2500 0.5000
0.0000 0.0000 0.0000
0.3805 0.3805 0.7610
0.6195 0.6195 0.2390
```


Material: H2IrRh
Method: DFT, GGA-PBEsol
State: optimized geometry

## Properties
- symmetry = No. 225
- N(E_F) (states/eV/f.u.) = 3.0
- calculated total energy (eV per atom) = -5.450

```
H2IrRh
1.0
-3.6259 0.0789 0.5742
-2.2923 -1.3033 -2.5554
-1.8324 -3.1251 0.5994
H Ir Rh
2 1 1
direct
0.2500 0.2500 0.2500
0.7500 0.7500 0.7500
0.5000 0.5000 0.5000
0.0000 0.0000 0.0000
```


Material: Y4HgRu
Method: DFT, GGA-PBEsol
State: optimized geometry

## Properties
- symmetry = No. 216
- N(E_F) (states/eV/f.u.) = 8.3
- calculated total energy (eV per atom) = -5.684

```
Y4HgRu
1.0
5.8900 0.0000 0.0000
2.9450 5.1009 0.0000
2.9450 1.7003 4.8092
Hg Ru Y
1 1 4
direct
0.7500 0.7500 0.7500
0.0000 0.0000 0.0000
0.3738 0.3738 0.3738
0.3738 0.3738 0.8785
0.8785 0.3738 0.3738
0.3738 0.8785 0.3738
```


Material: ScCoNi6
Method: DFT, GGA-PBEsol
State: optimized geometry

## Properties
- symmetry = No. 65
- N(E_F) (states/eV/f.u.) = 9.3
- calculated total energy (eV per atom) = -6.577

```
ScCoNi6
1.0
6.1633 0.0009 0.0000
-2.0798 5.8018 0.0000
0.0000 0.0000 10.0969
Co Ni Sc
4 24 4
direct
0.2395 0.7605 0.0000
0.7605 0.2395 0.0000
0.5000 0.5000 0.7543
0.5000 0.5000 0.2457
0.2554 0.7446 0.7608
0.8691 0.6122 0.8809
0.1309 0.3878 0.8809
0.7446 0.2554 0.7608
0.3878 0.1309 0.8809
0.6122 0.8691 0.8809
0.5000 0.5000 0.5000
0.1384 0.3832 0.6319
0.3832 0.1384 0.6319
0.2554 0.7446 0.2392
0.8616 0.6168 0.3681
0.1384 0.3832 0.3681
0.7446 0.2554 0.2392
0.3832 0.1384 0.3681
0.6168 0.8616 0.3681
0.5000 0.5000 0.0000
0.1309 0.3878 0.1191
0.3878 0.1309 0.1191
0.0000 0.0000 0.5000
0.6168 0.8616 0.6319
0.8616 0.6168 0.6319
0.0000 0.0000 0.0000
0.6122 0.8691 0.1191
0.8691 0.6122 0.1191
0.2450 0.7550 0.5000
0.7550 0.2450 0.5000
0.0000 0.0000 0.7516
0.0000 0.0000 0.2484
```


Material: ScTa2SnF
Method: DFT, GGA-PBEsol
State: optimized geometry

## Properties
- symmetry = No. 123
- N(E_F) (states/eV/f.u.) = 7.3
- calculated total energy (eV per atom) = -6.669
- formation energy (no corrections) (eV/f.u.) = 4.55

```
ScTa2SnF
1.0
4.1134 0.0000 0.0000
0.0000 5.2824 0.0000
0.0000 0.0000 5.2824
Sc F Sn Ta
1 1 1 2
direct
0.5000 0.5000 0.5000
0.5000 0.0000 0.0000
0.0000 0.0000 0.0000
0.0000 0.0000 0.5000
0.0000 0.5000 0.0000
```


Material: RbTa2C
Method: DFT, GGA-PBEsol
State: optimized geometry

## Properties
- symmetry = No. 225
- N(E_F) (states/eV/f.u.) = 6.3
- calculated total energy (eV per atom) = -6.359

```
RbTa2C
1.0
-3.3122 2.8035 0.8206
-3.9317 -0.6053 -1.9180
-3.4565 -1.3123 2.4153
C Rb Ta
1 1 2
direct
0.0000 0.0000 0.0000
0.5000 0.5000 0.5000
0.2500 0.2500 0.2500
0.7500 0.7500 0.7500
```


Material: FeIrCl2
Method: DFT, GGA-PBEsol
State: optimized geometry

## Properties
- symmetry = No. 71
- relative energy among the computed polymorphs (eV/atom) = 0.197
- N(E_F) (states/eV/f.u.) = 2.8
- calculated total energy (eV per atom) = -5.108
- formation energy (no corrections) (eV/f.u.) = 2.37

```
FeIrCl2
1.0
2.8393 0.0000 0.0000
1.4197 4.8208 0.0193
1.4197 1.7759 4.4818
Ir Fe Cl
1 1 2
direct
0.0000 0.5000 0.5000
0.5000 0.0000 0.0000
0.2458 0.7542 0.7542
0.7542 0.2458 0.2458
```


Material: TcNi2Pt
Method: DFT, GGA-PBEsol
State: optimized geometry

## Properties
- symmetry = No. 47
- relative energy among the computed polymorphs (eV/atom) = 0.034
- N(E_F) (states/eV/f.u.) = 4.6
- calculated total energy (eV per atom) = -7.689

```
TcNi2Pt
1.0
2.6268 0.0000 0.0000
0.0000 3.5928 0.0000
0.0000 0.0000 5.2683
Ni Tc Pt
2 1 1
direct
0.0000 0.0000 0.7360
0.0000 0.0000 0.2640
0.5000 0.5000 0.5000
0.5000 0.5000 0.0000
```


Material: CuHgSe2
Method: DFT, GGA-PBEsol
State: optimized geometry

## Properties
- symmetry = No. 12
- N(E_F) (states/eV/f.u.) = 1.6
- calculated total energy (eV per atom) = -3.024
- formation energy (no corrections) (eV/f.u.) = 0.51

```
CuHgSe2
1.0
-0.2099 4.3432 1.3064
-0.8997 -2.8029 3.6983
4.3997 -1.0134 -1.3993
Cu Hg Se
1 1 2
direct
0.5000 0.5000 0.5000
0.5000 0.0000 0.0000
0.0000 0.0000 0.5000
0.0000 0.5000 0.0000
```


Material: ReAg2W
Method: DFT, GGA-PBEsol
State: optimized geometry

## Properties
- symmetry = No. 47
- relative energy among the computed polymorphs (eV/atom) = 0.193
- N(E_F) (states/eV/f.u.) = 1.9
- calculated total energy (eV per atom) = -7.791

```
ReAg2W
1.0
-1.7481 -1.8677 0.6780
2.0905 -0.5440 3.8914
-3.0952 3.6877 2.1783
Ag Re W
2 1 1
direct
0.0000 0.0000 0.7502
0.0000 0.0000 0.2498
0.5000 0.5000 0.0000
0.5000 0.5000 0.5000
```


Q: Which of these has the lowest calculated total energy?
A: Fe2TcSb